Pu2ThPaS4: optimized geometry, PBE.

a b c (Å): 6.809 3.933 6.899
angles (deg): 90.00 109.19 90.00
Fractional coordinates of all 8 atoms:
Pu 0.000 0.000 0.000
Pu 0.500 0.500 0.000
Th 0.000 0.500 0.500
Pa 0.500 0.000 0.500
S 0.253 0.500 0.244
S 0.259 0.000 0.760
S 0.741 0.000 0.240
S 0.747 0.500 0.756

Results
Size of the total moment   10.45 Bohr magnetons per cell
Raw formation energy   -1.75 eV/atom

***

Pu3PaTl3S8: optimized geometry, PBE.

a b c (Å): 8.865 8.865 8.865
angles (deg): 54.70 54.70 54.70
Fractional coordinates of all 15 atoms:
Pu 0.000 0.500 0.500
Pu 0.500 0.000 0.500
Pu 0.500 0.500 0.000
Pa 0.000 0.000 0.000
Tl 0.000 0.000 0.500
Tl 0.000 0.500 0.000
Tl 0.500 0.000 0.000
S 0.225 0.225 0.742
S 0.225 0.742 0.225
S 0.258 0.775 0.775
S 0.269 0.269 0.269
S 0.731 0.731 0.731
S 0.742 0.225 0.225
S 0.775 0.258 0.775
S 0.775 0.775 0.258

Results
Size of the total moment   16.00 Bohr magnetons per cell
Raw formation energy   -1.32 eV/atom

***

Tm2PuPaS4: optimized geometry, PBE.

a b c (Å): 6.666 3.830 6.830
angles (deg): 90.00 108.88 90.00
Fractional coordinates of all 8 atoms:
Tm 0.000 0.000 0.000
Tm 0.500 0.500 0.000
Pu 0.000 0.500 0.500
Pa 0.500 0.000 0.500
S 0.247 0.500 0.240
S 0.254 0.000 0.759
S 0.746 0.000 0.241
S 0.753 0.500 0.760

Results
Size of the total moment   5.90 Bohr magnetons per cell
Raw formation energy   -1.81 eV/atom

***

PuU2PaS5: optimized geometry, PBE.

a b c (Å): 5.136 5.136 10.306
angles (deg): 90.00 90.00 90.00
Fractional coordinates of all 9 atoms:
Pu 0.000 0.000 0.000
U 0.500 0.500 0.384
U 0.500 0.500 0.616
Pa 0.000 0.000 0.500
S 0.000 0.000 0.253
S 0.000 0.000 0.747
S 0.000 0.500 0.500
S 0.500 0.000 0.500
S 0.500 0.500 0.000

Results
Size of the total moment   9.23 Bohr magnetons per cell
Raw formation energy   -0.72 eV/atom

***

Pu2UPaS4: optimized geometry, PBE.

a b c (Å): 6.714 3.874 6.871
angles (deg): 90.00 109.03 90.00
Fractional coordinates of all 8 atoms:
Pu 0.000 0.000 0.000
Pu 0.500 0.500 0.000
U 0.000 0.500 0.500
Pa 0.500 0.000 0.500
S 0.247 0.500 0.248
S 0.248 0.000 0.751
S 0.752 0.000 0.249
S 0.753 0.500 0.752

Results
Size of the total moment   13.46 Bohr magnetons per cell
Raw formation energy   -1.61 eV/atom

***

Y2PuPaS4: optimized geometry, PBE.

a b c (Å): 6.777 3.888 6.827
angles (deg): 90.00 109.15 90.00
Fractional coordinates of all 8 atoms:
Y 0.000 0.000 0.000
Y 0.500 0.500 0.000
Pu 0.000 0.500 0.500
Pa 0.500 0.000 0.500
S 0.250 0.500 0.248
S 0.252 0.000 0.752
S 0.748 0.000 0.248
S 0.750 0.500 0.752

Results
Size of the total moment   5.95 Bohr magnetons per cell
Raw formation energy   -1.84 eV/atom

***

YPuPa2S4: optimized geometry, PBE.

a b c (Å): 6.659 3.847 6.949
angles (deg): 90.00 108.66 90.00
Fractional coordinates of all 8 atoms:
Y 0.000 0.000 0.000
Pu 0.500 0.500 0.000
Pa 0.000 0.500 0.500
Pa 0.500 0.000 0.500
S 0.248 0.500 0.247
S 0.251 0.000 0.753
S 0.749 0.000 0.247
S 0.752 0.500 0.753

Results
Size of the total moment   4.84 Bohr magnetons per cell
Raw formation energy   -1.73 eV/atom

***

Pu2ZrPaS4: optimized geometry, PBE.

a b c (Å): 6.612 3.875 6.729
angles (deg): 90.00 109.43 90.00
Fractional coordinates of all 8 atoms:
Pu 0.000 0.000 0.000
Pu 0.500 0.500 0.000
Zr 0.000 0.500 0.500
Pa 0.500 0.000 0.500
S 0.241 0.000 0.742
S 0.243 0.500 0.253
S 0.757 0.500 0.747
S 0.759 0.000 0.258

Results
Size of the total moment   10.68 Bohr magnetons per cell
Raw formation energy   -1.66 eV/atom

***

PuPaSb2: optimized geometry, PBE.

a b c (Å): 3.233 6.011 11.832
angles (deg): 90.00 90.00 90.00
Fractional coordinates of all 8 atoms:
Pu 0.250 0.250 0.118
Pu 0.750 0.750 0.882
Pa 0.250 0.750 0.385
Pa 0.750 0.250 0.615
Sb 0.250 0.250 0.383
Sb 0.250 0.250 0.852
Sb 0.750 0.750 0.148
Sb 0.750 0.750 0.617

Results
Size of the total moment   13.87 Bohr magnetons per cell
Distance to the lowest polymorph of the same formula   233 meV per atom
Raw formation energy   -0.31 eV/atom

***

PuPaSb2: optimized geometry, PBE.

a b c (Å): 3.743 3.743 7.545
angles (deg): 90.00 90.00 90.00
Fractional coordinates of all 4 atoms:
Pu 0.000 0.000 0.000
Pa 0.000 0.000 0.500
Sb 0.500 0.500 0.256
Sb 0.500 0.500 0.744

Results
Size of the total moment   6.36 Bohr magnetons per cell
Distance to the lowest polymorph of the same formula   30 meV per atom
Raw formation energy   -0.52 eV/atom

***

PuPaSb2: optimized geometry, PBE.

a b c (Å): 7.507 7.507 7.507
angles (deg): 90.00 90.00 90.00
Fractional coordinates of all 16 atoms:
Pu 0.000 0.000 0.000
Pu 0.000 0.500 0.500
Pu 0.500 0.000 0.500
Pu 0.500 0.500 0.000
Pa 0.000 0.000 0.500
Pa 0.000 0.500 0.000
Pa 0.500 0.000 0.000
Pa 0.500 0.500 0.500
Sb 0.250 0.250 0.250
Sb 0.250 0.250 0.750
Sb 0.250 0.750 0.250
Sb 0.250 0.750 0.750
Sb 0.750 0.250 0.250
Sb 0.750 0.250 0.750
Sb 0.750 0.750 0.250
Sb 0.750 0.750 0.750

Results
Size of the total moment   27.61 Bohr magnetons per cell
Distance to the lowest polymorph of the same formula   33 meV per atom
Raw formation energy   -0.51 eV/atom

***

PuPaSb2: optimized geometry, PBE.

a b c (Å): 4.250 4.250 23.466
angles (deg): 90.00 90.00 120.00
Fractional coordinates of all 12 atoms:
Pu 0.000 0.000 0.000
Pu 0.333 0.667 0.667
Pu 0.667 0.333 0.333
Pa 0.000 0.000 0.169
Pa 0.333 0.667 0.836
Pa 0.667 0.333 0.502
Sb 0.000 0.000 0.418
Sb 0.000 0.000 0.585
Sb 0.333 0.667 0.085
Sb 0.333 0.667 0.252
Sb 0.667 0.333 0.752
Sb 0.667 0.333 0.918

Results
Size of the total moment   20.90 Bohr magnetons per cell
Distance to the lowest polymorph of the same formula   103 meV per atom
Raw formation energy   -0.44 eV/atom